Compound: RbNiB2F8
Source: Alexandria
Functional: PBE with a Hubbard U
Structure: relaxed

a = 8.199 Å, b = 8.199 Å, c = 8.199 Å
α = 35.88°, β = 35.88°, γ = 35.88°
Atoms (fractional coordinates):
Rb (0.000, 0.000, 0.000)
Ni (0.500, 0.500, 0.500)
B (0.244, 0.244, 0.244)
B (0.756, 0.756, 0.756)
F (0.046, 0.513, 0.767)
F (0.233, 0.954, 0.487)
F (0.306, 0.306, 0.306)
F (0.487, 0.233, 0.954)
F (0.513, 0.767, 0.046)
F (0.694, 0.694, 0.694)
F (0.767, 0.046, 0.513)
F (0.954, 0.487, 0.233)

Values from the calculation:
E = -62.11 eV per cell
M_tot = 1.03 μB per formula unit